Record 1
An optimized crystal structure of MgSe2Cl, computed with PBE-GGA.

## Properties
excess energy over the best structure of this formula in the dataset	1.24	eV/f.u.
total moment	0.000	μB per formula unit
formation energy (no corrections)	-0.50	eV per atom

a = 4.244 Å, b = 4.244 Å, c = 21.600 Å
α = 90.00°, β = 90.00°, γ = 90.00°
Space group I-42d (No. 122)
Unique sites:
Mg: 0.000 0.000 0.000 (multiplicity 4)
Se: 0.146 0.250 0.125 (multiplicity 8)
Cl: 0.000 0.000 0.500 (multiplicity 4)

---

Record 2
An optimized crystal structure of MgSe2Cl, computed with PBE-GGA.

## Properties
excess energy over the best structure of this formula in the dataset	0.16	eV/f.u.
total moment	0.000	μB per formula unit
formation energy (no corrections)	-0.77	eV per atom

a = 4.376 Å, b = 4.421 Å, c = 7.808 Å
α = 90.00°, β = 95.18°, γ = 90.00°
Space group Pm (No. 6)
Unique sites:
Mg: 0.000 0.000 0.000 (multiplicity 1)
Se: 0.529 0.000 0.184 (multiplicity 1)
Se: 0.549 0.500 0.321 (multiplicity 1)
Cl: 0.976 0.500 0.863 (multiplicity 1)

---

Record 3
An optimized crystal structure of MgSe2Cl, computed with PBE-GGA.

## Properties
excess energy over the best structure of this formula in the dataset	1.66	eV/f.u.
total moment	0.000	μB per formula unit
formation energy (no corrections)	-0.39	eV per atom

a = 3.239 Å, b = 3.239 Å, c = 8.992 Å
α = 90.00°, β = 90.00°, γ = 90.00°
Space group P4mm (No. 99)
Unique sites:
Mg: 0.000 0.000 0.000 (multiplicity 1)
Se: 0.000 0.000 0.407 (multiplicity 1)
Se: 0.500 0.500 0.201 (multiplicity 1)
Cl: 0.500 0.500 0.842 (multiplicity 1)